Density functional theory data (PBE with a Hubbard U) for a relaxed structure of Co2RuO.

Summary:
Magnetic moment, μB per formula unit: 6.038
Space-group type: I-42d, No. 122
VASP energy, eV per atom: -5.736

abc: 6.4218 6.4218 5.0886
angles: 50.88 50.88 90.00
With the nearest neighbours (Å) after each atom.
Fractional coordinates of all 8 atoms:
Ru (0.7500, 0.2500, 0.5000)  2 O 2.30
Ru (0.0000, 0.0000, 0.0000)  2 O 2.30
Co (0.5434, 0.1250, 0.2500)  2 O 2.02
Co (0.3750, 0.4566, 0.7500)  2 O 2.02
Co (0.8750, 0.7934, 0.7500)  2 O 2.02
Co (0.2066, 0.6250, 0.2500)  2 O 2.02
O (0.5000, 0.5000, 0.0000)  4 Co 2.02
O (0.2500, 0.7500, 0.5000)  4 Co 2.02